(w)
Density functional theory data (PBE-GGA) for a relaxed CoSi2W crystal.

a b c (Å): 3.288 3.456 9.259
angles (deg): 90.00 90.00 90.00
Space group Imm2 (No. 44)
Unique sites:
1 Co 0.000 0.000 0.000 [2 per cell]
2 Si 0.000 0.000 0.461 [2 per cell]
3 Si 0.000 0.500 0.674 [2 per cell]
4 W 0.000 0.500 0.252 [2 per cell]


(x)
Density functional theory data (PBE-GGA) for a relaxed CoSi2W crystal.

a b c (Å): 3.400 4.287 7.066
angles (deg): 90.00 90.00 90.00
Space group Cmmm (No. 65)
Unique sites:
1 Co 0.000 0.000 0.000 [2 per cell]
2 Si 0.000 0.500 0.222 [4 per cell]
3 W 0.000 0.000 0.500 [2 per cell]


Most stable structure - (w); separation to the second - 13.6 kJ/mol of atoms.


(w)
Density functional theory data (PBE-GGA) for a relaxed CoSi2W crystal.

a b c (Å): 4.127 4.127 2.994
angles (deg): 90.00 90.00 90.00
Space group P4/mmm (No. 123)
Unique sites:
1 Co 0.000 0.000 0.000 [1 per cell]
2 Si 0.000 0.500 0.500 [2 per cell]
3 W 0.500 0.500 0.000 [1 per cell]


(x)
Density functional theory data (PBE-GGA) for a relaxed CoSi2W crystal.

a b c (Å): 6.351 6.351 5.536
angles (deg): 90.00 90.00 90.00
Space group I-42d (No. 122)
Unique sites:
1 Co 0.000 0.000 0.000 [4 per cell]
2 Si 0.207 0.250 0.125 [8 per cell]
3 W 0.000 0.000 0.500 [4 per cell]


Most stable structure - (w); separation to the second - 40.1 kJ/mol of atoms.


(w)
Density functional theory data (PBE-GGA) for a relaxed Co3SiW crystal.

a b c (Å): 6.419 10.633 4.233
angles (deg): 90.00 90.00 90.00
Space group Cmcm (No. 63)
Unique sites:
1 Co 0.000 0.000 0.000 [4 per cell]
2 Co 0.182 0.350 0.250 [8 per cell]
3 Si 0.000 0.202 0.750 [4 per cell]
4 W 0.000 0.431 0.750 [4 per cell]


(x)
Density functional theory data (PBE-GGA) for a relaxed Co3SiW crystal.

a b c (Å): 4.089 4.089 4.089
angles (deg): 90.00 90.00 90.00
Space group Pm-3m (No. 221)
Unique sites:
1 Co 0.000 0.000 0.500 [3 per cell]
2 Si 0.000 0.000 0.000 [1 per cell]
3 W 0.500 0.500 0.500 [1 per cell]


Most stable structure - (w); separation to the second - 23.8 kJ/mol of atoms.


(w)
Density functional theory data (PBE-GGA) for a relaxed Zn3CoSi crystal.

a b c (Å): 4.646 4.646 4.646
angles (deg): 90.00 90.00 90.00
Space group Pm-3m (No. 221)
Unique sites:
1 Zn 0.000 0.000 0.500 [3 per cell]
2 Co 0.500 0.500 0.500 [1 per cell]
3 Si 0.000 0.000 0.000 [1 per cell]


(x)
Density functional theory data (PBE-GGA) for a relaxed Zn3CoSi crystal.

a b c (Å): 4.523 4.523 4.523
angles (deg): 90.00 90.00 90.00
Space group Pm-3m (No. 221)
Unique sites:
1 Zn 0.000 0.000 0.500 [3 per cell]
2 Co 0.000 0.000 0.000 [1 per cell]
3 Si 0.500 0.500 0.500 [1 per cell]


Most stable structure - (x); separation to the second - 26.7 kJ/mol of atoms.